a:
{"formula": "BeNiB", "functional": "GGA-PBE", "state": "optimized geometry", "magmom_total_mub_per_atom": 0.000, "space_group": "I4mm, No. 107", "dos_at_fermi_per_ev_fu": 1.4, "lattice": [[2.6078, 0.0000, 0.0000], [0.0000, 2.6078, 0.0000], [0.0000, 0.0000, 6.9102]], "species": ["Be", "Be", "Ni", "Ni", "B", "B"], "frac_coords": [[0.0000, 0.0000, 0.0000], [0.5000, 0.5000, 0.5000], [0.0000, 0.0000, 0.6875], [0.5000, 0.5000, 0.1875], [0.0000, 0.0000, 0.3468], [0.5000, 0.5000, 0.8468]]}


b:
{"formula": "BeNiB", "functional": "GGA-PBE", "state": "optimized geometry", "magmom_total_mub_per_atom": 0.000, "space_group": "P3m1, No. 156", "dos_at_fermi_per_ev_fu": 1.1, "lattice": [[3.3739, 0.0000, 0.0000], [-1.6870, 2.9219, 0.0000], [0.0000, 0.0000, 2.4037]], "species": ["Be", "Ni", "B"], "frac_coords": [[0.0000, 0.0000, 0.0000], [0.6667, 0.3333, 0.5002], [0.3333, 0.6667, 0.0032]]}


Quick one: most stable of them? a


a:
{"formula": "BeNiB", "functional": "GGA-PBE", "state": "optimized geometry", "magmom_total_mub_per_atom": 0.000, "space_group": "F-43m, No. 216", "dos_at_fermi_per_ev_fu": 2.9, "lattice": [[4.7279, 0.0000, 0.0000], [0.0000, 4.7279, 0.0000], [0.0000, 0.0000, 4.7279]], "species": ["Be", "Be", "Be", "Be", "Ni", "Ni", "Ni", "Ni", "B", "B", "B", "B"], "frac_coords": [[0.0000, 0.0000, 0.0000], [0.0000, 0.5000, 0.5000], [0.5000, 0.0000, 0.5000], [0.5000, 0.5000, 0.0000], [0.0000, 0.0000, 0.5000], [0.0000, 0.5000, 0.0000], [0.5000, 0.0000, 0.0000], [0.5000, 0.5000, 0.5000], [0.2500, 0.2500, 0.2500], [0.2500, 0.7500, 0.7500], [0.7500, 0.2500, 0.7500], [0.7500, 0.7500, 0.2500]]}


b:
{"formula": "BeNiB", "functional": "GGA-PBE", "state": "optimized geometry", "magmom_total_mub_per_atom": 0.000, "space_group": "Pnma, No. 62", "dos_at_fermi_per_ev_fu": 1.4, "lattice": [[6.4085, 0.0000, 0.0000], [0.0000, 3.0721, 0.0000], [0.0000, 0.0000, 5.0182]], "species": ["Be", "Be", "Be", "Be", "Ni", "Ni", "Ni", "Ni", "B", "B", "B", "B"], "frac_coords": [[0.1633, 0.2500, 0.2365], [0.3367, 0.7500, 0.7365], [0.6633, 0.2500, 0.2635], [0.8367, 0.7500, 0.7635], [0.1003, 0.2500, 0.6782], [0.3998, 0.7500, 0.1782], [0.6002, 0.2500, 0.8218], [0.8998, 0.7500, 0.3218], [0.0910, 0.7500, 0.9871], [0.4090, 0.2500, 0.4871], [0.5910, 0.7500, 0.5129], [0.9090, 0.2500, 0.0129]]}


Quick one: most stable of them? b


a:
{"formula": "BeB2O", "functional": "GGA-PBE", "state": "optimized geometry", "magmom_total_mub_per_atom": 0.000, "space_group": "I-42d, No. 122", "dos_at_fermi_per_ev_fu": 0.4, "lattice": [[4.2502, 0.0000, 0.0000], [0.0000, 4.2502, 0.0000], [0.0000, 0.0000, 7.2621]], "species": ["Be", "Be", "Be", "Be", "B", "B", "B", "B", "B", "B", "B", "B", "O", "O", "O", "O"], "frac_coords": [[0.0000, 0.0000, 0.0000], [0.0000, 0.5000, 0.2500], [0.5000, 0.0000, 0.7500], [0.5000, 0.5000, 0.5000], [0.1985, 0.2500, 0.6250], [0.2500, 0.6985, 0.8750], [0.2500, 0.8015, 0.3750], [0.3015, 0.2500, 0.1250], [0.6985, 0.7500, 0.1250], [0.7500, 0.1985, 0.3750], [0.7500, 0.3015, 0.8750], [0.8015, 0.7500, 0.6250], [0.0000, 0.0000, 0.5000], [0.0000, 0.5000, 0.7500], [0.5000, 0.0000, 0.2500], [0.5000, 0.5000, 0.0000]]}


b:
{"formula": "BeB2O", "functional": "GGA-PBE", "state": "optimized geometry", "magmom_total_mub_per_atom": 0.000, "space_group": "Fm-3m, No. 225", "dos_at_fermi_per_ev_fu": 2.1, "lattice": [[5.0611, 0.0000, 0.0000], [0.0000, 5.0611, 0.0000], [0.0000, 0.0000, 5.0611]], "species": ["Be", "Be", "Be", "Be", "B", "B", "B", "B", "B", "B", "B", "B", "O", "O", "O", "O"], "frac_coords": [[0.0000, 0.0000, 0.0000], [0.0000, 0.5000, 0.5000], [0.5000, 0.0000, 0.5000], [0.5000, 0.5000, 0.0000], [0.2500, 0.2500, 0.2500], [0.2500, 0.2500, 0.7500], [0.2500, 0.7500, 0.2500], [0.2500, 0.7500, 0.7500], [0.7500, 0.2500, 0.2500], [0.7500, 0.2500, 0.7500], [0.7500, 0.7500, 0.2500], [0.7500, 0.7500, 0.7500], [0.0000, 0.0000, 0.5000], [0.0000, 0.5000, 0.0000], [0.5000, 0.0000, 0.0000], [0.5000, 0.5000, 0.5000]]}


Quick one: most stable of them? a


a:
{"formula": "BeB3O", "functional": "GGA-PBE", "state": "optimized geometry", "magmom_total_mub_per_atom": 0.000, "space_group": "Pm-3m, No. 221", "dos_at_fermi_per_ev_fu": 2.6, "lattice": [[3.4807, 0.0000, 0.0000], [0.0000, 3.4807, 0.0000], [0.0000, 0.0000, 3.4807]], "species": ["Be", "B", "B", "B", "O"], "frac_coords": [[0.0000, 0.0000, 0.0000], [0.0000, 0.5000, 0.5000], [0.5000, 0.0000, 0.5000], [0.5000, 0.5000, 0.0000], [0.5000, 0.5000, 0.5000]]}


b:
{"formula": "BeB3O", "functional": "GGA-PBE", "state": "optimized geometry", "magmom_total_mub_per_atom": 0.000, "space_group": "Pm-3m, No. 221", "dos_at_fermi_per_ev_fu": 1.4, "lattice": [[3.5024, 0.0000, 0.0000], [0.0000, 3.5024, 0.0000], [0.0000, 0.0000, 3.5024]], "species": ["Be", "B", "B", "B", "O"], "frac_coords": [[0.0000, 0.0000, 0.0000], [0.0000, 0.0000, 0.5000], [0.0000, 0.5000, 0.0000], [0.5000, 0.0000, 0.0000], [0.5000, 0.5000, 0.5000]]}


Quick one: most stable of them? b


a:
{"formula": "Be2BO", "functional": "GGA-PBE", "state": "optimized geometry", "magmom_total_mub_per_atom": 0.000, "space_group": "Fm-3m, No. 225", "dos_at_fermi_per_ev_fu": 3.0, "lattice": [[5.0149, 0.0000, 0.0000], [0.0000, 5.0149, 0.0000], [0.0000, 0.0000, 5.0149]], "species": ["Be", "Be", "Be", "Be", "Be", "Be", "Be", "Be", "B", "B", "B", "B", "O", "O", "O", "O"], "frac_coords": [[0.2500, 0.2500, 0.2500], [0.2500, 0.2500, 0.7500], [0.2500, 0.7500, 0.2500], [0.2500, 0.7500, 0.7500], [0.7500, 0.2500, 0.2500], [0.7500, 0.2500, 0.7500], [0.7500, 0.7500, 0.2500], [0.7500, 0.7500, 0.7500], [0.0000, 0.0000, 0.0000], [0.0000, 0.5000, 0.5000], [0.5000, 0.0000, 0.5000], [0.5000, 0.5000, 0.0000], [0.0000, 0.0000, 0.5000], [0.0000, 0.5000, 0.0000], [0.5000, 0.0000, 0.0000], [0.5000, 0.5000, 0.5000]]}


b:
{"formula": "Be2BO", "functional": "GGA-PBE", "state": "optimized geometry", "magmom_total_mub_per_atom": 0.000, "space_group": "I-42d, No. 122", "dos_at_fermi_per_ev_fu": 0.8, "lattice": [[4.4309, 0.0000, 0.0000], [0.0000, 4.4309, 0.0000], [0.0000, 0.0000, 7.0851]], "species": ["Be", "Be", "Be", "Be", "Be", "Be", "Be", "Be", "B", "B", "B", "B", "O", "O", "O", "O"], "frac_coords": [[0.1805, 0.2500, 0.1250], [0.2500, 0.6805, 0.3750], [0.2500, 0.8195, 0.8750], [0.3195, 0.2500, 0.6250], [0.6805, 0.7500, 0.6250], [0.7500, 0.1805, 0.8750], [0.7500, 0.3195, 0.3750], [0.8195, 0.7500, 0.1250], [0.0000, 0.0000, 0.5000], [0.0000, 0.5000, 0.7500], [0.5000, 0.0000, 0.2500], [0.5000, 0.5000, 0.0000], [0.0000, 0.0000, 0.0000], [0.0000, 0.5000, 0.2500], [0.5000, 0.0000, 0.7500], [0.5000, 0.5000, 0.5000]]}


Quick one: most stable of them? b


a:
{"formula": "BeBP2O", "functional": "GGA-PBE", "state": "optimized geometry", "magmom_total_mub_per_atom": 0.000, "space_group": "P4/mmm, No. 123", "dos_at_fermi_per_ev_fu": 2.1, "lattice": [[4.6489, 0.0000, 0.0000], [0.0000, 4.6489, 0.0000], [0.0000, 0.0000, 2.8540]], "species": ["Be", "B", "P", "P", "O"], "frac_coords": [[0.0000, 0.0000, 0.0000], [0.5000, 0.5000, 0.5000], [0.0000, 0.5000, 0.0000], [0.5000, 0.0000, 0.0000], [0.0000, 0.0000, 0.5000]]}


b:
{"formula": "BeBP2O", "functional": "GGA-PBE", "state": "optimized geometry", "magmom_total_mub_per_atom": 0.000, "space_group": "P4/mmm, No. 123", "dos_at_fermi_per_ev_fu": 2.5, "lattice": [[5.1303, 0.0000, 0.0000], [0.0000, 5.1303, 0.0000], [0.0000, 0.0000, 2.5513]], "species": ["Be", "B", "P", "P", "O"], "frac_coords": [[0.0000, 0.0000, 0.0000], [0.5000, 0.5000, 0.5000], [0.0000, 0.5000, 0.5000], [0.5000, 0.0000, 0.5000], [0.5000, 0.5000, 0.0000]]}


Quick one: most stable of them? b